Entry 1:
Entry from Alexandria via LeMat-Bulk: a relaxed structure of SrRe2PtN (PBE).

* formation energy without anion corrections: 183.6 kJ/mol of atoms
* V: 107.8 Å³ per cell
* space group: No. 123
* DOS(E_F): 1.0272 states/eV/atom

Cell and atoms, written as POSCAR:
```
SrRe2PtN
1.0
-1.588 1.741 -4.860
-3.125 -1.944 0.325
-2.404 4.251 2.308
Re N Pt Sr
2 1 1 1
Direct
0.000 0.000 0.500
0.500 0.000 0.000
0.000 0.500 0.000
0.000 0.000 0.000
0.500 0.500 0.500
```

=====

Entry 2:
Entry from Alexandria via LeMat-Bulk: a relaxed structure of LiMgP2 (PBE).

* calculated formation energy: -0.13 eV per atom
* V: 66.4 Å³ per cell
* space group: No. 25
* DOS(E_F): 0.5505 states/eV/atom

Cell and atoms, written as POSCAR:
```
LiMgP2
1.0
-0.395 0.001 2.650
0.386 -4.546 0.059
5.354 0.465 0.797
Li Mg P
1 1 2
Direct
0.000 0.000 0.378
0.500 0.500 0.871
0.000 0.000 0.878
0.500 0.500 0.373
```

=====

Entry 3:
Entry from Alexandria via LeMat-Bulk: a relaxed structure of Li2SiBPd6 (PBE).

* formation energy without anion corrections: -41.6 kJ/mol of atoms
* V: 149.5 Å³ per cell
* space group: No. 2
* DOS(E_F): 0.2711 states/eV/atom

Cell and atoms, written as POSCAR:
```
Li2SiBPd6
1.0
-2.593 3.752 -4.207
-1.977 -4.315 -2.994
-6.331 -1.311 -1.925
Li Si B Pd
2 1 1 6
Direct
0.837 0.298 0.485
0.163 0.702 0.515
0.000 0.000 0.000
0.500 0.500 0.000
0.318 0.181 0.491
0.823 0.665 0.971
0.350 0.833 0.001
0.650 0.167 0.999
0.177 0.335 0.029
0.682 0.819 0.509
```

=====

Entry 4:
Entry from Alexandria via LeMat-Bulk: a relaxed structure of RbTi2GaBr (PBE).

* formation energy without anion corrections: 176.9 kJ/mol of atoms
* V: 195.4 Å³ per cell
* space group: No. 123
* DOS(E_F): 1.2081 states/eV/atom

Cell and atoms, written as POSCAR:
```
RbTi2GaBr
1.0
5.685 0.000 0.000
0.000 6.045 0.000
0.000 0.000 5.685
Ga Br Rb Ti
1 1 1 2
Direct
0.000 0.500 0.000
0.500 0.500 0.500
0.000 0.000 0.000
0.000 0.000 0.500
0.500 0.000 0.000
```

=====

Entry 5:
Entry from Alexandria via LeMat-Bulk: a relaxed structure of Ba2HgS3 (PBE).

* formation energy without anion corrections: -140.1 kJ/mol of atoms
* V: 699.9 Å³ per cell
* space group: No. 62

Cell and atoms, written as POSCAR:
```
Ba2HgS3
1.0
4.407 0.000 0.000
0.000 9.062 0.000
0.000 0.000 17.524
Ba Hg S
8 4 12
Direct
0.250 0.760 0.539
0.250 0.922 0.284
0.750 0.578 0.784
0.250 0.422 0.216
0.250 0.260 0.961
0.750 0.740 0.039
0.750 0.240 0.461
0.750 0.078 0.716
0.750 0.124 0.133
0.250 0.876 0.867
0.750 0.624 0.367
0.250 0.376 0.633
0.250 0.314 0.778
0.750 0.686 0.222
0.250 0.814 0.722
0.750 0.186 0.278
0.250 0.483 0.404
0.750 0.517 0.596
0.250 0.983 0.096
0.750 0.017 0.904
0.250 0.117 0.572
0.750 0.383 0.072
0.250 0.617 0.928
0.750 0.883 0.428
```

=====

Entry 6:
Entry from Alexandria via LeMat-Bulk: a relaxed structure of La2Ce3In2 (PBE).

* energy relative to the lowest polymorph listed for this composition: 0.022 eV per atom
* calculated formation energy: -0.19 eV per atom
* V: 199.4 Å³ per cell
* space group: No. 12
* DOS(E_F): 2.0971 states/eV/atom

Cell and atoms, written as POSCAR:
```
La2Ce3In2
1.0
4.062 0.000 0.000
-2.031 6.007 -0.367
0.000 -0.772 8.219
La Ce In
2 3 2
Direct
0.559 0.119 0.691
0.441 0.881 0.309
0.269 0.538 0.893
0.000 0.000 0.000
0.731 0.462 0.107
0.167 0.335 0.411
0.833 0.665 0.589
```

=====

Q: Which of these has the highest V?
A: Ba2HgS3

=====

Repeat the sixth record exactly.
Entry from Alexandria via LeMat-Bulk: a relaxed structure of La2Ce3In2 (PBE).

* energy relative to the lowest polymorph listed for this composition: 0.022 eV per atom
* calculated formation energy: -0.19 eV per atom
* V: 199.4 Å³ per cell
* space group: No. 12
* DOS(E_F): 2.0971 states/eV/atom

Cell and atoms, written as POSCAR:
```
La2Ce3In2
1.0
4.062 0.000 0.000
-2.031 6.007 -0.367
0.000 -0.772 8.219
La Ce In
2 3 2
Direct
0.559 0.119 0.691
0.441 0.881 0.309
0.269 0.538 0.893
0.000 0.000 0.000
0.731 0.462 0.107
0.167 0.335 0.411
0.833 0.665 0.589
```